(1)
12
Lattice="-0.057 2.829 3.481 -6.552 -0.945 -2.229 3.244 -6.915 5.672" Properties=species:S:1:pos:R:3 comment="PBE Li2Mg3Sn, optimized geometry" formation_enthalpy_0k_ev_per_atom=-0.17 de_polymorph_mev_per_atom=0 pbc="T T T"
Li 2.353 -4.672 6.726
Li -5.717 -0.358 0.198
Li -3.350 0.903 2.102
Li -0.014 -5.934 4.822
Mg -1.814 -4.120 3.319
Mg -4.015 -2.546 4.894
Mg 0.391 -2.817 5.186
Mg -3.755 -2.214 1.738
Mg 0.651 -2.484 2.030
Mg -1.551 -0.911 3.606
Sn -2.011 -4.354 6.397
Sn -1.354 -0.676 0.528

***

(2)
4
Lattice="3.206 0.000 0.000 1.603 2.776 0.000 1.603 0.925 9.707" Properties=species:S:1:pos:R:3 comment="PBE Li2MgSn, optimized geometry" formation_enthalpy_0k_ev_per_atom=-0.14 pbc="T T T"
Li 1.603 0.925 7.384
Li 1.603 0.925 2.330
Mg 3.206 1.851 4.835
Sn 3.206 1.851 0.010

***

(3)
5
Lattice="5.060 0.000 0.000 0.000 5.060 0.000 0.000 0.000 5.060" Properties=species:S:1:pos:R:3 comment="PBE LiMgSn3, optimized geometry" formation_enthalpy_0k_ev_per_atom=0.17 de_polymorph_mev_per_atom=324 pbc="T T T"
Mg 2.530 2.530 2.530
Sn 0.000 2.530 0.000
Sn 0.000 0.000 2.530
Sn 2.530 0.000 0.000
Li 0.000 0.000 0.000

***

(4)
11
Lattice="7.127 -0.098 -0.320 -0.178 5.641 0.172 -0.763 0.092 7.093" Properties=species:S:1:pos:R:3 comment="PBE Li2Mg2Sn7, optimized geometry" formation_enthalpy_0k_ev_per_atom=-0.09 pbc="T T T"
Li 5.210 1.386 1.483
Li 0.976 4.249 5.463
Mg 5.091 2.816 5.599
Mg 1.095 2.819 1.347
Sn -0.128 1.409 4.175
Sn 3.995 4.229 0.304
Sn 6.314 4.227 2.771
Sn 2.191 1.406 6.643
Sn 0.000 0.000 0.000
Sn 3.349 4.241 3.233
Sn 2.837 1.395 3.713

***

no.,calculated density (g/cm3)
1,2.685
2,3.016
3,4.965
4,5.232